# RbMgMn2F8

An optimized crystal structure of RbMgMn2F8 (GGA+U, Alexandria).

Properties
- total energy (eV per atom) = -5.412

Geometry as CIF:
```
data_RbMgMn2F8
_chemical_formula_sum 'Rb1 Mg1 Mn2 F8'
_space_group_name_H-M_alt 'P -3'
_space_group_IT_number 147
_cell_length_a 5.4424
_cell_length_b 5.4424
_cell_length_c 7.3699
_cell_angle_alpha 90.00
_cell_angle_beta 90.00
_cell_angle_gamma 120.00
loop_
_space_group_symop_operation_xyz
'x,y,z'
'-x,-y,-z'
'-y,x-y,z'
'y,-x+y,-z'
'-x+y,-x,z'
'x-y,x,-z'
loop_
_atom_site_label
_atom_site_fract_x
_atom_site_fract_y
_atom_site_fract_z
Rb1 0.0000 0.0000 0.0000
Mg1 0.0000 0.0000 0.5000
Mn1 0.3333 0.6667 0.6117
F1 0.0506 0.7077 0.3711
F2 0.3333 0.6667 0.8683
```